Entry from Alexandria via LeMat-Bulk: a relaxed structure of MgPPt (PBE).

Lattice parameters (Å, degrees): 2.9746 2.9746 10.8583 90.00 90.00 90.00
Sites, in units of the cell vectors:
Mg  0.0000  0.0000  0.0000
Mg  0.5000  0.5000  0.5000
P  0.0000  0.0000  0.3202
P  0.5000  0.5000  0.8202
Pt  0.0000  0.0000  0.6755
Pt  0.5000  0.5000  0.1755

The formation energy from the elements comes out at -0.297 eV/atom. Its total magnetization is 0.0 μB/cell. The space-group type is I4mm, No. 107.

Entry from Alexandria via LeMat-Bulk: a relaxed structure of Tc2MoH (PBE).

Lattice parameters (Å, degrees): 5.9550 5.9550 5.9550 90.00 90.00 90.00
Sites, in units of the cell vectors:
Tc  0.2500  0.2500  0.2500
Tc  0.2500  0.2500  0.7500
Tc  0.2500  0.7500  0.2500
Tc  0.2500  0.7500  0.7500
Tc  0.7500  0.2500  0.2500
Tc  0.7500  0.2500  0.7500
Tc  0.7500  0.7500  0.2500
Tc  0.7500  0.7500  0.7500
Mo  0.0000  0.0000  0.0000
Mo  0.0000  0.5000  0.5000
Mo  0.5000  0.0000  0.5000
Mo  0.5000  0.5000  0.0000
H  0.0000  0.0000  0.5000
H  0.0000  0.5000  0.0000
H  0.5000  0.0000  0.0000
H  0.5000  0.5000  0.5000

Its total magnetization is 0.0 μB/cell. The value obtained for the excess energy over the best structure of this formula in the dataset is 2.66 eV/f.u. The space-group type is Fm-3m, No. 225.

Entry from Alexandria via LeMat-Bulk: a relaxed structure of Li2B3C3 (PBE).

Lattice parameters (Å, degrees): 4.7105 4.7105 7.3219 90.00 90.00 120.00
Sites, in units of the cell vectors:
Li  0.0000  0.0000  0.0000
Li  0.0000  0.0000  0.5000
Li  0.3333  0.6667  0.0000
Li  0.6667  0.3333  0.0000
B  0.0000  0.3348  0.7555
B  0.0000  0.6652  0.2445
B  0.3348  0.0000  0.7555
B  0.3348  0.3348  0.2445
B  0.6652  0.0000  0.2445
B  0.6652  0.6652  0.7555
C  0.0000  0.3319  0.2397
C  0.0000  0.6681  0.7603
C  0.3319  0.0000  0.2397
C  0.3319  0.3319  0.7603
C  0.6681  0.0000  0.7603
C  0.6681  0.6681  0.2397

The formation energy from the elements comes out at -0.160 eV/atom. Its total magnetization is 0.0 μB/cell. The value obtained for the excess energy over the best structure of this formula in the dataset is 0.14 eV/f.u. The space-group type is P-31m, No. 162.